Entry from Alexandria via LeMat-Bulk: Nd8Te4P3Ir after structural relaxation (PBE-GGA).

Results
Symmetry: R-3m (166)
Formation energy from raw total energies in eV/atom: -1.41
Calculated volume in A^3/atom: 29.1

abc: 8.8183 8.8183 8.8183
angles: 58.21 58.21 58.21
Atoms (fractional coordinates):
Nd 0.2381 0.2381 0.2381
Nd 0.2416 0.7357 0.7357
Nd 0.2643 0.2643 0.7584
Nd 0.2643 0.7584 0.2643
Nd 0.7357 0.2416 0.7357
Nd 0.7357 0.7357 0.2416
Nd 0.7584 0.2643 0.2643
Nd 0.7619 0.7619 0.7619
Te 0.0000 0.0000 0.0000
Te 0.0000 0.5000 0.5000
Te 0.5000 0.0000 0.5000
Te 0.5000 0.5000 0.0000
P 0.0000 0.0000 0.5000
P 0.0000 0.5000 0.0000
P 0.5000 0.0000 0.0000
Ir 0.5000 0.5000 0.5000

=====

Entry from Alexandria via LeMat-Bulk: Ho4Zn2Pd after structural relaxation (PBE-GGA).

Results
Symmetry: I4/mmm (139)
DFT formation energy in eV per atom: -0.375
Calculated volume in A^3/atom: 24.5

abc: 6.0609 6.0609 6.0609
angles: 109.32 109.32 109.77
Atoms (fractional coordinates):
Ho 0.0000 0.0000 0.5000
Ho 0.0000 0.5000 0.0000
Ho 0.5000 0.0000 0.0000
Ho 0.5000 0.5000 0.5000
Zn 0.0000 0.5000 0.5000
Zn 0.5000 0.0000 0.5000
Pd 0.0000 0.0000 0.0000

=====

Entry from Alexandria via LeMat-Bulk: BaTiIO2 after structural relaxation (PBE-GGA).

Results
Excess energy over the best structure of this formula in the dataset in eV per atom: 0.000
Symmetry: P4/mmm (123)
Formation energy from raw total energies in eV/atom: -1.61
Calculated volume in A^3/atom: 20.6

abc: 4.3609 4.3609 5.4292
angles: 90.00 90.00 90.00
Atoms (fractional coordinates):
Ba 0.0000 0.0000 0.0000
Ti 0.5000 0.5000 0.5000
I 0.5000 0.5000 0.0000
O 0.0000 0.5000 0.5000
O 0.5000 0.0000 0.5000

=====

Entry from Alexandria via LeMat-Bulk: Pm7Er3Tm after structural relaxation (PBE-GGA).

Results
Excess energy over the best structure of this formula in the dataset in eV per atom: 0.000
Symmetry: P2/m (10)
DFT formation energy in eV per atom: 0.120
Calculated volume in A^3/atom: 33.7

abc: 7.0612 5.6158 9.9829
angles: 90.00 110.60 90.00
Atoms (fractional coordinates):
Pm 0.0000 0.0000 0.0000
Pm 0.1461 0.5000 0.2927
Pm 0.3205 0.5000 0.6393
Pm 0.4145 0.0000 0.8288
Pm 0.5855 0.0000 0.1712
Pm 0.6795 0.5000 0.3607
Pm 0.8539 0.5000 0.7073
Er 0.0000 0.0000 0.5000
Er 0.2795 0.5000 0.9997
Er 0.7205 0.5000 0.0003
Tm 0.5000 0.0000 0.5000

=====

Entry from Alexandria via LeMat-Bulk: SrCu2Ni after structural relaxation (PBE-GGA).

Results
Symmetry: P4mm (99)
DFT formation energy in eV per atom: 0.226
Calculated volume in A^3/atom: 17.4

abc: 3.2408 3.2408 6.6402
angles: 90.00 90.00 90.00
Atoms (fractional coordinates):
Sr 0.0000 0.0000 0.0000
Cu 0.0000 0.0000 0.5157
Cu 0.5000 0.5000 0.3308
Ni 0.5000 0.5000 0.6880

=====

Entry from Alexandria via LeMat-Bulk: Cs2GePdSe4 after structural relaxation (PBE-GGA).

Results
Symmetry: Fddd (70)
Formation energy from raw total energies in eV/atom: -0.67
Calculated volume in A^3/atom: 36.3

abc: 14.6302 13.6815 7.1765
angles: 82.79 68.09 29.12
Atoms (fractional coordinates):
Cs 0.0589 0.0589 0.6911
Cs 0.3089 0.3089 0.9411
Cs 0.6911 0.6911 0.0589
Cs 0.9411 0.9411 0.3089
Ge 0.3750 0.3750 0.3750
Ge 0.6250 0.6250 0.6250
Pd 0.1250 0.1250 0.1250
Pd 0.8750 0.8750 0.8750
Se 0.0143 0.6193 0.6172
Se 0.2492 0.6172 0.6193
Se 0.3807 0.9857 0.7508
Se 0.3828 0.7508 0.9857
Se 0.6172 0.2492 0.0143
Se 0.6193 0.0143 0.2492
Se 0.7508 0.3828 0.3807
Se 0.9857 0.3807 0.3828

=====

Entry from Alexandria via LeMat-Bulk: Ba3CuO after structural relaxation (PBE-GGA).

Results
Excess energy over the best structure of this formula in the dataset in eV per atom: 0.000
Symmetry: Pm-3m (221)
Formation energy from raw total energies in eV/atom: -0.85
Calculated volume in A^3/atom: 33.1

abc: 5.4898 5.4898 5.4898
angles: 90.00 90.00 90.00
Atoms (fractional coordinates):
Ba 0.0000 0.0000 0.5000
Ba 0.0000 0.5000 0.0000
Ba 0.5000 0.0000 0.0000
Cu 0.5000 0.5000 0.5000
O 0.0000 0.0000 0.0000

=====

Entry from Alexandria via LeMat-Bulk: KCdGe2I after structural relaxation (PBE-GGA).

Results
Symmetry: P4/mmm (123)
Formation energy from raw total energies in eV/atom: 0.20
Calculated volume in A^3/atom: 40.2

abc: 5.0726 5.0726 7.8190
angles: 90.00 90.00 90.00
Atoms (fractional coordinates):
K 0.0000 0.0000 0.0000
Cd 0.0000 0.0000 0.5000
Ge 0.0000 0.5000 0.5000
Ge 0.5000 0.0000 0.5000
I 0.5000 0.5000 0.0000

=====

Entry from Alexandria via LeMat-Bulk: RbMgGe after structural relaxation (PBE-GGA).

Results
Excess energy over the best structure of this formula in the dataset in eV per atom: 0.075
Symmetry: C2/m (12)
DFT formation energy in eV per atom: -0.075
Calculated volume in A^3/atom: 33.9

abc: 6.7064 6.7064 8.6114
angles: 124.93 124.93 41.72
Atoms (fractional coordinates):
Rb 0.0813 0.0813 0.3543
Rb 0.9187 0.9187 0.6457
Mg 0.2517 0.2517 0.1166
Mg 0.7483 0.7483 0.8834
Ge 0.3733 0.3733 0.9332
Ge 0.6267 0.6267 0.0668

=====

Entry from Alexandria via LeMat-Bulk: KMn2I2 after structural relaxation (PBE-GGA).

Results
Excess energy over the best structure of this formula in the dataset in eV per atom: 0.292
Symmetry: P4/mbm (127)
Formation energy from raw total energies in eV/atom: 0.38
Calculated volume in A^3/atom: 33.0

abc: 8.4858 8.4858 4.5874
angles: 90.00 90.00 90.00
Atoms (fractional coordinates):
K 0.0000 0.0000 0.0000
K 0.5000 0.5000 0.0000
Mn 0.0780 0.4220 0.0000
Mn 0.4220 0.9220 0.0000
Mn 0.5780 0.0780 0.0000
Mn 0.9220 0.5780 0.0000
I 0.1735 0.3265 0.5000
I 0.3265 0.8265 0.5000
I 0.6735 0.1735 0.5000
I 0.8265 0.6735 0.5000

=====

Entry from Alexandria via LeMat-Bulk: ZnSi4Pb after structural relaxation (PBE-GGA).

Results
Symmetry: F-43m (216)
Formation energy from raw total energies in eV/atom: 0.52
Calculated volume in A^3/atom: 18.4

abc: 5.3865 5.3865 5.3865
angles: 60.00 60.00 60.00
Atoms (fractional coordinates):
Zn 0.0000 0.0000 0.0000
Si 0.3719 0.3719 0.3719
Si 0.3719 0.3719 0.8844
Si 0.3719 0.8844 0.3719
Si 0.8844 0.3719 0.3719
Pb 0.7500 0.7500 0.7500

=====

Entry from Alexandria via LeMat-Bulk: Be2As2Se after structural relaxation (PBE-GGA).

Results
Symmetry: I4/mmm (139)
Formation energy from raw total energies in eV/atom: 0.42
Calculated volume in A^3/atom: 16.2

abc: 6.1553 6.1553 6.1553
angles: 143.73 143.73 52.23
Atoms (fractional coordinates):
Be 0.1074 0.1074 0.0000
Be 0.8926 0.8926 0.0000
As 0.2500 0.7500 0.5000
As 0.7500 0.2500 0.5000
Se 0.5000 0.5000 0.0000